Density functional theory data (GGA-PBE) for LaMgMn2 after structural relaxation.

The value obtained for the volume is 21.1 Å³/atom. Its total DFT energy (no corrections) is -5.83 eV/atom.

It has space group I-4m2 (No. 119), with a = 4.3729 Å, b = 4.3729 Å, c = 8.8096 Å, α = 90.00°, β = 90.00° and γ = 90.00°. The inequivalent atoms are La at (0.0000, 0.0000, 0.0000), Mg at (0.0000, 0.5000, 0.7500), Mn at (0.0000, 0.0000, 0.5000) and Mn at (0.0000, 0.5000, 0.2500).